# 1
Crystalline VZn3Cd at its relaxed geometry, computed with PBE.

Cell lengths 4.979, 4.979, 4.979 Å; angles 90.00, 90.00, 90.00 degrees
Fractional coordinates of all 5 atoms:
V: 0.000 0.000 0.000
Zn: 0.000 0.000 0.500
Zn: 0.000 0.500 0.000
Zn: 0.500 0.000 0.000
Cd: 0.500 0.500 0.500

Computed properties:
The formation energy is 773.7 meV/atom. The value obtained for the raw total energy is -1.997 eV/atom. The crystal system is cubic. Its energy above the most stable polymorph in this dataset is 0 meV/atom. For the density of states at the Fermi level, the calculation gives 0.940 states/eV per atom. The space-group type is Pm-3m, No. 221.

---

# 2
Crystalline Cs3SrCa2Br9 at its relaxed geometry, computed with PBE.

Cell lengths 8.268, 8.268, 10.156 Å; angles 90.00, 90.00, 120.00 degrees
Fractional coordinates of all 15 atoms:
Cs: 0.000 0.000 0.000
Cs: 0.333 0.667 0.669
Cs: 0.667 0.333 0.331
Sr: 0.000 0.000 0.500
Ca: 0.333 0.667 0.161
Ca: 0.667 0.333 0.839
Br: 0.000 0.500 0.000
Br: 0.170 0.341 0.327
Br: 0.170 0.830 0.327
Br: 0.341 0.170 0.673
Br: 0.500 0.000 0.000
Br: 0.500 0.500 0.000
Br: 0.659 0.830 0.327
Br: 0.830 0.170 0.673
Br: 0.830 0.659 0.673

Computed properties:
The value obtained for the raw total energy is -3.535 eV/atom. The crystal system is trigonal. For the density of states at the Fermi level, the calculation gives 0.000 states/eV per atom. The space-group type is P-3m1, No. 164.

---

# 3
Crystalline KTe3O at its relaxed geometry, computed with PBE.

Cell lengths 5.949, 5.949, 5.949 Å; angles 90.00, 90.00, 90.00 degrees
Fractional coordinates of all 5 atoms:
K: 0.000 0.000 0.000
Te: 0.000 0.000 0.500
Te: 0.000 0.500 0.000
Te: 0.500 0.000 0.000
O: 0.500 0.500 0.500

Computed properties:
The value obtained for the raw total energy is -1.591 eV/atom. The crystal system is cubic. Its energy above the most stable polymorph in this dataset is 1743 meV/atom. For the density of states at the Fermi level, the calculation gives 6.250 states/eV per atom. The space-group type is Pm-3m, No. 221.

---

# 4
Crystalline YZrRuBr2 at its relaxed geometry, computed with PBE.

Cell lengths 5.079, 5.079, 5.023 Å; angles 90.00, 90.00, 90.00 degrees
Fractional coordinates of all 5 atoms:
Y: 0.000 0.000 0.000
Zr: 0.500 0.500 0.000
Ru: 0.500 0.500 0.500
Br: 0.000 0.500 0.500
Br: 0.500 0.000 0.500

Computed properties:
The value obtained for the raw total energy is -5.265 eV/atom. The crystal system is tetragonal. For the density of states at the Fermi level, the calculation gives 0.877 states/eV per atom. The space-group type is P4/mmm, No. 123.